{
  "formula": "FeSb3",
  "functional": "GGA-PBE",
  "state": "relaxed",
  "sg": "Pm-3m (221)",
  "e_above_lowest_polymorph_mev_per_atom": 641,
  "n_ef_per_ev_cell": 5.552,
  "magmom_total_mub_per_fu": 2.9,
  "final_energy_ev_per_cell": -18.372,
  "cell": [[4.5748, 0.0000, 0.0000], [0.0000, 4.5748, 0.0000], [0.0000, 0.0000, 4.5748]],
  "species": ["Fe", "Sb", "Sb", "Sb"],
  "frac_coords": [[0.0000, 0.0000, 0.0000], [0.0000, 0.5000, 0.5000], [0.5000, 0.0000, 0.5000], [0.5000, 0.5000, 0.0000]]
}